[1]
DFT (GGA-PBEsol) results for a relaxed Ti3MnNi2P6O24 crystal.

abc: 8.396 8.396 8.396
angles: 61.33 61.33 61.33
Positions (direct):
O: 0.243 0.433 0.591
Ti: 0.358 0.358 0.358
O: 0.912 0.054 0.257
O: 0.591 0.243 0.433
O: 0.880 0.505 0.683
O: 0.113 0.486 0.331
O: 0.183 0.002 0.380
O: 0.433 0.591 0.243
P: 0.544 0.251 0.955
O: 0.002 0.380 0.183
Ti: 0.642 0.642 0.642
O: 0.611 0.819 0.010
P: 0.044 0.457 0.752
O: 0.952 0.738 0.093
O: 0.757 0.557 0.410
Mn: 0.859 0.859 0.859
O: 0.331 0.113 0.486
O: 0.486 0.331 0.113
P: 0.752 0.044 0.457
O: 0.819 0.010 0.611
O: 0.257 0.912 0.054
O: 0.738 0.093 0.952
Ti: 0.141 0.141 0.141
O: 0.505 0.683 0.880
P: 0.251 0.955 0.544
Ni: 0.499 0.499 0.499
P: 0.457 0.752 0.044
P: 0.955 0.544 0.251
O: 0.557 0.410 0.757
Ni: 0.999 0.999 0.999
O: 0.410 0.757 0.557
O: 0.054 0.257 0.912
O: 0.683 0.880 0.505
O: 0.093 0.952 0.738
O: 0.010 0.611 0.819
O: 0.380 0.183 0.002

Results
E_form (uncorrected) in eV/atom: -2.208
Calculated density in g/cm3: 3.41

=====

[2]
DFT (GGA-PBEsol) results for a relaxed MnV3Ni2P6O24 crystal.

abc: 8.327 8.327 8.327
angles: 61.30 61.30 61.30
Positions (direct):
O: 0.683 0.880 0.499
O: 0.116 0.489 0.329
Mn: 0.860 0.860 0.860
Ni: 0.000 0.000 0.000
P: 0.042 0.458 0.751
O: 0.954 0.739 0.089
O: 0.185 0.000 0.378
O: 0.499 0.683 0.880
O: 0.489 0.329 0.116
P: 0.751 0.042 0.458
O: 0.256 0.912 0.057
O: 0.057 0.256 0.912
Ni: 0.499 0.499 0.499
O: 0.410 0.756 0.559
O: 0.559 0.410 0.756
O: 0.438 0.588 0.243
O: 0.739 0.089 0.954
P: 0.251 0.958 0.542
O: 0.880 0.499 0.683
P: 0.458 0.751 0.042
O: 0.007 0.614 0.819
V: 0.358 0.358 0.358
O: 0.000 0.378 0.185
O: 0.089 0.954 0.739
P: 0.958 0.542 0.251
O: 0.329 0.116 0.489
O: 0.614 0.819 0.007
V: 0.140 0.140 0.140
O: 0.378 0.185 0.000
P: 0.542 0.251 0.958
V: 0.641 0.641 0.641
O: 0.756 0.559 0.410
O: 0.588 0.243 0.438
O: 0.243 0.438 0.588
O: 0.912 0.057 0.256
O: 0.819 0.007 0.614

Results
E_form (uncorrected) in eV/atom: -2.005
Calculated density in g/cm3: 3.54

=====

[3]
DFT (GGA-PBEsol) results for a relaxed Mn2VNi3P6O24 crystal.

abc: 8.296 8.296 8.296
angles: 61.24 61.24 61.24
Positions (direct):
O: 0.113 0.320 0.508
O: 0.409 0.540 0.757
O: 0.614 0.008 0.821
P: 0.958 0.251 0.544
P: 0.040 0.749 0.461
Mn: 0.999 0.999 0.999
P: 0.251 0.544 0.958
Mn: 0.499 0.499 0.499
O: 0.008 0.821 0.614
V: 0.143 0.143 0.143
O: 0.585 0.447 0.245
O: 0.821 0.614 0.008
O: 0.540 0.757 0.409
O: 0.252 0.074 0.910
O: 0.320 0.508 0.113
P: 0.461 0.040 0.749
O: 0.089 0.746 0.937
P: 0.544 0.958 0.251
O: 0.746 0.937 0.089
O: 0.447 0.245 0.585
O: 0.508 0.113 0.320
O: 0.379 0.017 0.172
Ni: 0.640 0.640 0.640
Ni: 0.359 0.359 0.359
O: 0.910 0.252 0.074
O: 0.757 0.409 0.540
Ni: 0.858 0.858 0.858
O: 0.017 0.172 0.379
O: 0.172 0.379 0.017
O: 0.937 0.089 0.746
O: 0.692 0.481 0.883
O: 0.481 0.883 0.692
O: 0.245 0.585 0.447
O: 0.074 0.910 0.252
O: 0.883 0.692 0.481
P: 0.749 0.461 0.040

Results
E_form (uncorrected) in eV/atom: -1.764
Calculated density in g/cm3: 3.63

=====

[4]
DFT (GGA-PBEsol) results for a relaxed Mn2V3NiP6O24 crystal.

abc: 8.428 8.428 8.428
angles: 60.60 60.60 60.60
Positions (direct):
O: 0.374 0.192 0.997
V: 0.355 0.355 0.355
O: 0.957 0.732 0.090
P: 0.752 0.043 0.460
O: 0.415 0.759 0.558
O: 0.997 0.374 0.192
O: 0.918 0.053 0.261
O: 0.759 0.558 0.415
O: 0.332 0.115 0.482
Mn: 0.996 0.996 0.996
O: 0.732 0.090 0.957
Mn: 0.499 0.499 0.499
V: 0.141 0.141 0.141
O: 0.689 0.878 0.501
O: 0.878 0.501 0.689
O: 0.482 0.332 0.115
O: 0.053 0.261 0.918
O: 0.804 0.020 0.618
O: 0.243 0.425 0.589
O: 0.020 0.618 0.804
O: 0.589 0.243 0.425
Ni: 0.859 0.859 0.859
P: 0.539 0.252 0.958
O: 0.261 0.918 0.053
O: 0.192 0.997 0.374
O: 0.425 0.589 0.243
P: 0.252 0.958 0.539
O: 0.558 0.415 0.759
O: 0.115 0.482 0.332
O: 0.090 0.957 0.732
O: 0.618 0.804 0.020
P: 0.460 0.752 0.043
V: 0.644 0.644 0.644
P: 0.043 0.460 0.752
P: 0.958 0.539 0.252
O: 0.501 0.689 0.878

Results
E_form (uncorrected) in eV/atom: -2.061
Calculated density in g/cm3: 3.45